This record from Alexandria via LeMat-Bulk describes KCaO2F after structural relaxation. The functional is PBE.

As for the space group: No. 123. As for the raw total energy: -3.989 eV/atom.

Unit cell a=4.5458 b=4.5458 c=4.5956 alpha=90.00 beta=90.00 gamma=90.00
Each line ends with the local moment (μB).
Atoms (fractional coordinates):
Ca  0.5000  0.5000  0.5000  -0.02
K  0.0000  0.0000  0.0000  0.11
O  0.0000  0.5000  0.0000  0.80
O  0.5000  0.0000  0.0000  0.80
F  0.0000  0.0000  0.5000  0.00